[1]
The following is a PBE-GGA calculation of crystalline Ti3GaRh at its relaxed geometry, from the Alexandria database.

Cell: 4.6940 4.6940 4.6940 Å, 90.00 90.00 90.00°
Fractional coordinates of all 5 atoms:
Rh (0.0000, 0.0000, 0.0000)
Ga (0.5000, 0.5000, 0.5000)
Ti (0.0000, 0.5000, 0.0000)
Ti (0.0000, 0.0000, 0.5000)
Ti (0.5000, 0.0000, 0.0000)

- crystal system = cubic
- E_form (meV/atom) = 285
- space group = Pm-3m (221)
- energy above the lowest structure with this stoichiometry (eV/atom) = 0.050
- VASP energy (eV per atom) = -6.528
- N(E_F) (states/eV/f.u.) = 7.809
- magnetic moment (μB/cell) = 0.00

***

[2]
The following is a PBE-GGA calculation of crystalline YEr2Ni2 at its relaxed geometry, from the Alexandria database.

Cell: 3.7911 5.4454 5.9711 Å, 103.23 108.51 90.00°
Fractional coordinates of all 5 atoms:
Y (0.0000, 0.0000, 0.0000)
Er (0.3512, 0.4108, 0.7024)
Er (0.6488, 0.5892, 0.2976)
Ni (0.7144, 0.1144, 0.4289)
Ni (0.2856, 0.8856, 0.5711)

- crystal system = monoclinic
- E_form (meV/atom) = -260
- space group = C2/m (12)
- energy above the lowest structure with this stoichiometry (eV/atom) = 0.037
- VASP energy (eV per atom) = -5.690
- N(E_F) (states/eV/f.u.) = 6.148
- magnetic moment (μB/cell) = 0.00

***

[3]
The following is a PBE-GGA calculation of crystalline ZrRu3Se at its relaxed geometry, from the Alexandria database.

Cell: 4.8471 4.8471 4.8471 Å, 90.00 90.00 90.00°
Site moments in Bohr magnetons follow the coordinates.
Fractional coordinates of all 5 atoms:
Ru (0.0000, 0.5000, 0.0000)  1.57
Ru (0.0000, 0.0000, 0.5000)  1.32
Ru (0.5000, 0.0000, 0.0000)  1.38
Se (0.5000, 0.5000, 0.5000)  0.12
Zr (0.0000, 0.0000, 0.0000)  -0.26

- crystal system = cubic
- space group = Pm-3m (221)
- formation energy without anion corrections (eV per atom) = 1.7129
- energy above the lowest structure with this stoichiometry (eV/atom) = 1.231
- VASP energy (eV per atom) = -6.259
- N(E_F) (states/eV/f.u.) = 5.561
- magnetic moment (μB/cell) = 4.28

***

[4]
The following is a PBE-GGA calculation of crystalline MnAsCl2 at its relaxed geometry, from the Alexandria database.

Cell: 3.2421 3.2421 8.2292 Å, 90.00 90.00 90.00°
Site moments in Bohr magnetons follow the coordinates.
Fractional coordinates of all 4 atoms:
As (0.5000, 0.5000, 0.7140)  -0.09
Mn (0.0000, 0.0000, 0.5187)  3.98
Cl (0.0000, 0.0000, 0.9217)  0.08
Cl (0.5000, 0.5000, 0.3456)  0.11

- crystal system = tetragonal
- space group = P4mm (99)
- formation energy without anion corrections (eV per atom) = -0.1375
- energy above the lowest structure with this stoichiometry (eV/atom) = 0.282
- VASP energy (eV per atom) = -4.516
- N(E_F) (states/eV/f.u.) = 1.823
- magnetic moment (μB/cell) = 4.28

***

[5]
The following is a PBE-GGA calculation of crystalline HoICl2 at its relaxed geometry, from the Alexandria database.

Cell: 7.1289 7.1289 7.6191 Å, 109.51 109.51 109.24°
Fractional coordinates of all 8 atoms:
Ho (0.1177, 0.4325, 0.4183)
Ho (0.4325, 0.1177, 0.9183)
I (0.5670, 0.8651, 0.6194)
I (0.8651, 0.5670, 0.1194)
Cl (0.2424, 0.2424, 0.6481)
Cl (0.6981, 0.0825, 0.2280)
Cl (0.2424, 0.2424, 0.1481)
Cl (0.0825, 0.6981, 0.7280)

- crystal system = monoclinic
- space group = Cc (9)
- formation energy without anion corrections (eV per atom) = -1.9576
- energy above the lowest structure with this stoichiometry (eV/atom) = 0.000
- VASP energy (eV per atom) = -4.413
- N(E_F) (states/eV/f.u.) = 0.000
- magnetic moment (μB/cell) = 0.00

***

[6]
The following is a PBE-GGA calculation of crystalline Pr6HoEr2Tm at its relaxed geometry, from the Alexandria database.

Cell: 9.6440 8.9901 8.9901 Å, 117.62 93.81 93.81°
Fractional coordinates of all 20 atoms:
Pr (0.0540, 0.1156, 0.7652)
Pr (0.4460, 0.2348, 0.8844)
Pr (0.9460, 0.8844, 0.2348)
Pr (0.5540, 0.7652, 0.1156)
Pr (0.3103, 0.9949, 0.4368)
Pr (0.1897, 0.5632, 0.0051)
Pr (0.6897, 0.0051, 0.5632)
Pr (0.8103, 0.4368, 0.9949)
Pr (0.1168, 0.7069, 0.4886)
Pr (0.3832, 0.5114, 0.2931)
Pr (0.8832, 0.2931, 0.5114)
Pr (0.6168, 0.4886, 0.7069)
Ho (0.2500, 0.9716, 0.0284)
Ho (0.7500, 0.0284, 0.9716)
Er (0.4529, 0.7989, 0.7033)
Er (0.0471, 0.2967, 0.2011)
Er (0.5471, 0.2011, 0.2967)
Er (0.9529, 0.7033, 0.7989)
Tm (0.2500, 0.4127, 0.5873)
Tm (0.7500, 0.5873, 0.4127)

- crystal system = monoclinic
- E_form (meV/atom) = 116
- space group = C2/c (15)
- VASP energy (eV per atom) = -4.569
- N(E_F) (states/eV/f.u.) = 14.617
- magnetic moment (μB/cell) = 0.00